1.
VASP calculation (PBE) on a relaxed La2TmCd2 crystal.

total moment: 0.000 μB per atom
volume: 315.3 Å³ per cell
calculated formation energy: -0.054 eV/atom
energy relative to the lowest polymorph listed for this composition: 0.181 eV/atom

Lattice parameters (Å, degrees): 8.0961 8.0961 8.0961 119.89 78.07 135.10
With the nearest neighbours (Å) after each atom.
Sites, in units of the cell vectors:
La 0.2065 0.1588 0.3653  5 Cd 3.26-3.62, 2 La 3.60
La 0.2935 0.6588 0.9523  5 Cd 3.26-3.62, 2 La 3.60
La 0.7065 0.3412 0.0477  5 Cd 3.26-3.62, 2 La 3.60
La 0.7935 0.8412 0.6347  5 Cd 3.26-3.62, 2 La 3.60
Tm 0.2500 0.7500 0.5000  2 Tm 3.09, 4 Cd 3.17
Tm 0.7500 0.2500 0.5000  2 Tm 3.09, 4 Cd 3.17
Cd 0.0565 0.8305 0.8870  3 Cd 3.09-3.40, 2 Tm 3.17, 3 La 3.26-3.31
Cd 0.4435 0.3305 0.7740  3 Cd 3.09-3.40, 2 Tm 3.17, 3 La 3.26-3.31
Cd 0.5565 0.6695 0.2260  3 Cd 3.09-3.40, 2 Tm 3.17, 3 La 3.26-3.31
Cd 0.9435 0.1695 0.1130  3 Cd 3.09-3.40, 2 Tm 3.17, 3 La 3.26-3.31

2.
VASP calculation (PBE) on a relaxed LaTmCd17 crystal.

total moment: 0.000 μB per atom
volume: 442.0 Å³ per cell
calculated formation energy: -0.131 eV/atom

Lattice parameters (Å, degrees): 7.6852 7.6852 7.6852 82.07 82.07 82.07
With the nearest neighbours (Å) after each atom.
Sites, in units of the cell vectors:
La 0.0000 0.0000 0.0000  16 Cd 3.56-3.76
Tm 0.6579 0.6579 0.6579  13 Cd 3.29-3.51
Cd 0.0299 0.3364 0.6317  8 Cd 2.92-3.26
Cd 0.0299 0.6317 0.3364  8 Cd 2.92-3.26
Cd 0.2100 0.6801 0.6801  7 Cd 2.88-3.03
Cd 0.2421 0.2421 0.2421  4 Cd 2.91-2.96
Cd 0.3102 0.3102 0.8579  9 Cd 2.91-3.10
Cd 0.3102 0.8579 0.3102  9 Cd 2.91-3.10
Cd 0.3364 0.0299 0.6317  8 Cd 2.92-3.26
Cd 0.3364 0.6317 0.0299  8 Cd 2.92-3.26
Cd 0.4390 0.4390 0.4390  7 Cd 2.96-3.29, 1 Tm 3.29
Cd 0.5395 0.9538 0.9538  6 Cd 2.88-3.10
Cd 0.6317 0.0299 0.3364  8 Cd 2.92-3.26
Cd 0.6317 0.3364 0.0299  8 Cd 2.92-3.26
Cd 0.6801 0.2100 0.6801  7 Cd 2.88-3.03
Cd 0.6801 0.6801 0.2100  7 Cd 2.88-3.03
Cd 0.8579 0.3102 0.3102  9 Cd 2.91-3.10
Cd 0.9538 0.5395 0.9538  6 Cd 2.88-3.10
Cd 0.9538 0.9538 0.5395  6 Cd 2.88-3.10

3.
VASP calculation (PBE) on a relaxed LaTm7Cd4 crystal.

total moment: 0.000 μB per atom
volume: 338.5 Å³ per cell
calculated formation energy: 0.027 eV/atom

Lattice parameters (Å, degrees): 7.8322 7.8322 9.6234 119.50 119.50 42.49
With the nearest neighbours (Å) after each atom.
Sites, in units of the cell vectors:
La 0.0000 0.0000 0.0000  2 Tm 2.84
Tm 0.0729 0.0729 0.4167  3 Cd 3.07-3.19, 1 Tm 3.27
Tm 0.2071 0.2071 0.8800  3 Cd 3.27-3.52, 5 Tm 3.45-3.54
Tm 0.2639 0.2639 0.3085  4 Cd 2.95-3.15
Tm 0.5000 0.5000 0.0000  2 La 2.84, 4 Cd 2.92-3.13
Tm 0.7361 0.7361 0.6915  4 Cd 2.95-3.15
Tm 0.7929 0.7929 0.1200  3 Cd 3.27-3.52, 5 Tm 3.45-3.54
Tm 0.9271 0.9271 0.5833  3 Cd 3.07-3.19, 1 Tm 3.27
Cd 0.3180 0.3180 0.6609  6 Tm 2.92-3.27, 1 Cd 3.03
Cd 0.4585 0.4585 0.2877  4 Tm 2.95-3.19, 1 Cd 3.03
Cd 0.5415 0.5415 0.7123  4 Tm 2.95-3.19, 1 Cd 3.03
Cd 0.6820 0.6820 0.3391  6 Tm 2.92-3.27, 1 Cd 3.03

4.
VASP calculation (PBE) on a relaxed LaTm2Cd2 crystal.

total moment: 0.000 μB per atom
volume: 281.9 Å³ per cell
calculated formation energy: -0.234 eV/atom
energy relative to the lowest polymorph listed for this composition: 0.000 eV/atom

Lattice parameters (Å, degrees): 3.7259 5.4579 13.9857 90.00 97.66 90.00
With the nearest neighbours (Å) after each atom.
Sites, in units of the cell vectors:
La 0.1493 0.2500 0.2969  6 Cd 3.31-3.40, 4 Tm 3.65-3.70
La 0.8507 0.7500 0.7031  6 Cd 3.31-3.40, 4 Tm 3.65-3.70
Tm 0.0469 0.7500 0.0940  8 Cd 3.18-3.30
Tm 0.2361 0.7500 0.4722  2 Cd 3.23, 4 Tm 3.39
Tm 0.7639 0.2500 0.5278  2 Cd 3.23, 4 Tm 3.39
Tm 0.9531 0.2500 0.9060  8 Cd 3.18-3.30
Cd 0.3587 0.2500 0.7179  4 Tm 3.20-3.23, 4 La 3.31
Cd 0.4541 0.7500 0.9080  6 Tm 3.18-3.30, 2 La 3.39-3.40
Cd 0.5459 0.2500 0.0920  6 Tm 3.18-3.30, 2 La 3.39-3.40
Cd 0.6413 0.7500 0.2821  4 Tm 3.20-3.23, 4 La 3.31

5.
VASP calculation (PBE) on a relaxed La6TmCd crystal.

total moment: 0.000 μB per atom
volume: 270.1 Å³ per cell
calculated formation energy: -0.052 eV/atom
energy relative to the lowest polymorph listed for this composition: 0.007 eV/atom

Lattice parameters (Å, degrees): 5.0809 6.3187 9.6092 76.85 74.71 66.40
With the nearest neighbours (Å) after each atom.
Sites, in units of the cell vectors:
La 0.0054 0.2427 0.2475  8 La 3.58-3.71, 2 Tm 3.60-3.61, 2 Cd 3.60-3.61
La 0.2505 0.1296 0.8672  8 La 3.58-3.72, 1 Cd 3.58, 3 Tm 3.65-3.68
La 0.2552 0.6084 0.3818  8 La 3.47-3.71, 3 Cd 3.54-3.68, 1 Tm 3.68
La 0.7448 0.3916 0.6182  8 La 3.47-3.71, 3 Cd 3.54-3.68, 1 Tm 3.68
La 0.7495 0.8704 0.1328  8 La 3.58-3.72, 1 Cd 3.58, 3 Tm 3.65-3.68
La 0.9946 0.7573 0.7525  8 La 3.58-3.71, 2 Tm 3.60-3.61, 2 Cd 3.60-3.61
Tm 0.5000 0.5000 0.0000  12 La 3.60-3.68
Cd 0.5000 0.0000 0.5000  12 La 3.54-3.68

6.
VASP calculation (PBE) on a relaxed La12Tm3Cd crystal.

total moment: 0.000 μB per atom
volume: 551.8 Å³ per cell
calculated formation energy: -0.024 eV/atom

Lattice parameters (Å, degrees): 5.1554 5.1554 20.7617 90.00 90.00 90.00
With the nearest neighbours (Å) after each atom.
Sites, in units of the cell vectors:
La 0.0000 0.0000 0.0000  8 La 3.63, 4 Cd 3.65
La 0.0000 0.0000 0.2481  4 Tm 3.65, 8 La 3.66-3.68
La 0.0000 0.0000 0.5000  4 Tm 3.65, 8 La 3.67
La 0.0000 0.0000 0.7519  4 Tm 3.65, 8 La 3.66-3.68
La 0.0000 0.5000 0.1232  2 Cd 3.63, 8 La 3.63-3.66, 2 Tm 3.66
La 0.0000 0.5000 0.3743  8 La 3.65-3.68, 4 Tm 3.67
La 0.0000 0.5000 0.6257  8 La 3.65-3.68, 4 Tm 3.67
La 0.0000 0.5000 0.8768  2 Cd 3.63, 8 La 3.63-3.66, 2 Tm 3.66
La 0.5000 0.0000 0.1232  2 Cd 3.63, 8 La 3.63-3.66, 2 Tm 3.66
La 0.5000 0.0000 0.3743  8 La 3.65-3.68, 4 Tm 3.67
La 0.5000 0.0000 0.6257  8 La 3.65-3.68, 4 Tm 3.67
La 0.5000 0.0000 0.8768  2 Cd 3.63, 8 La 3.63-3.66, 2 Tm 3.66
Tm 0.5000 0.5000 0.2482  12 La 3.65-3.67
Tm 0.5000 0.5000 0.5000  12 La 3.65-3.67
Tm 0.5000 0.5000 0.7518  12 La 3.65-3.67
Cd 0.5000 0.5000 0.0000  12 La 3.63-3.65

7.
VASP calculation (PBE) on a relaxed La3Tm3Cd2 crystal.

total moment: 0.000 μB per atom
volume: 504.2 Å³ per cell
calculated formation energy: -0.070 eV/atom

Lattice parameters (Å, degrees): 6.4688 6.4688 16.1314 90.00 90.00 131.67
With the nearest neighbours (Å) after each atom.
Sites, in units of the cell vectors:
La 0.0385 0.9615 0.6062  3 Cd 3.33-3.72, 4 Tm 3.52-3.56, 2 La 3.54-3.59
La 0.0385 0.9615 0.8938  3 Cd 3.33-3.72, 4 Tm 3.52-3.56, 2 La 3.54-3.59
La 0.2706 0.7294 0.7500  3 Tm 3.30-3.56, 4 Cd 3.31, 2 La 3.59
La 0.7294 0.2706 0.2500  3 Tm 3.30-3.56, 4 Cd 3.31, 2 La 3.59
La 0.9615 0.0385 0.1062  3 Cd 3.33-3.72, 4 Tm 3.52-3.56, 2 La 3.54-3.59
La 0.9615 0.0385 0.3938  3 Cd 3.33-3.72, 4 Tm 3.52-3.56, 2 La 3.54-3.59
Tm 0.3586 0.6414 0.5388  3 Cd 3.01-3.23
Tm 0.3586 0.6414 0.9612  3 Cd 3.01-3.23
Tm 0.4495 0.5505 0.2500  2 Cd 3.15, 5 La 3.30-3.52
Tm 0.5505 0.4495 0.7500  2 Cd 3.15, 5 La 3.30-3.52
Tm 0.6414 0.3586 0.0388  3 Cd 3.01-3.23
Tm 0.6414 0.3586 0.4612  3 Cd 3.01-3.23
Cd 0.2418 0.7582 0.1270  4 Tm 3.01-3.23, 3 La 3.31-3.33
Cd 0.2418 0.7582 0.3730  4 Tm 3.01-3.23, 3 La 3.31-3.33
Cd 0.7582 0.2418 0.6270  4 Tm 3.01-3.23, 3 La 3.31-3.33
Cd 0.7582 0.2418 0.8730  4 Tm 3.01-3.23, 3 La 3.31-3.33

8.
VASP calculation (PBE) on a relaxed La3Tm2Cd3 crystal.

total moment: 0.002 μB per atom
volume: 242.0 Å³ per cell
calculated formation energy: -0.234 eV/atom

Lattice parameters (Å, degrees): 11.9039 11.9039 11.9039 161.74 152.73 33.02
With the nearest neighbours (Å) after each atom.
Sites, in units of the cell vectors:
La 0.0000 0.0000 0.0000  8 Cd 3.38-3.42, 2 La 3.78
La 0.3747 0.8747 0.5000  6 Cd 3.38-3.43, 4 Tm 3.70-3.77, 2 La 3.78
La 0.6253 0.1253 0.5000  6 Cd 3.38-3.43, 4 Tm 3.70-3.77, 2 La 3.78
Tm 0.2355 0.2355 0.0000  2 Cd 3.15, 4 Tm 3.45
Tm 0.7645 0.7645 0.0000  2 Cd 3.15, 4 Tm 3.45
Cd 0.1250 0.6250 0.5000  2 Tm 3.15, 6 La 3.38-3.42
Cd 0.5000 0.5000 0.0000  8 La 3.38-3.43, 2 Cd 3.78
Cd 0.8750 0.3750 0.5000  2 Tm 3.15, 6 La 3.38-3.42

9.
VASP calculation (PBE) on a relaxed LaTm2Cd6 crystal.

total moment: 0.000 μB per atom
volume: 224.4 Å³ per cell
calculated formation energy: -0.306 eV/atom

Lattice parameters (Å, degrees): 8.6994 8.6994 3.4245 90.00 90.00 120.00
With the nearest neighbours (Å) after each atom.
Sites, in units of the cell vectors:
La 0.0000 0.0000 0.0000  12 Cd 3.40, 2 La 3.42
Tm 0.3333 0.6667 0.0000  12 Cd 3.35, 2 Tm 3.42
Tm 0.6667 0.3333 0.0000  12 Cd 3.35, 2 Tm 3.42
Cd 0.0000 0.3382 0.5000  3 Cd 2.81-2.94
Cd 0.0000 0.6618 0.5000  3 Cd 2.81-2.94
Cd 0.3382 0.0000 0.5000  3 Cd 2.81-2.94
Cd 0.3382 0.3382 0.5000  3 Cd 2.81-2.94
Cd 0.6618 0.0000 0.5000  3 Cd 2.81-2.94
Cd 0.6618 0.6618 0.5000  3 Cd 2.81-2.94

10.
VASP calculation (PBE) on a relaxed La5TmCd3 crystal.

total moment: 0.000 μB per atom
volume: 567.5 Å³ per cell
calculated formation energy: -0.181 eV/atom

Lattice parameters (Å, degrees): 9.6094 9.6094 7.0961 90.00 90.00 120.00
With the nearest neighbours (Å) after each atom.
Sites, in units of the cell vectors:
La 0.0000 0.3356 0.2500  3 Cd 3.17-3.28
La 0.0000 0.6644 0.7500  3 Cd 3.17-3.28
La 0.3333 0.6667 0.0000  8 La 3.55-3.65, 6 Cd 3.70
La 0.3333 0.6667 0.5000  8 La 3.55-3.65, 6 Cd 3.70
La 0.3356 0.0000 0.2500  3 Cd 3.17-3.28
La 0.3356 0.3356 0.7500  3 Cd 3.17-3.28
La 0.6644 0.0000 0.7500  3 Cd 3.17-3.28
La 0.6644 0.6644 0.2500  3 Cd 3.17-3.28
La 0.6667 0.3333 0.0000  8 La 3.55-3.65, 6 Cd 3.70
La 0.6667 0.3333 0.5000  8 La 3.55-3.65, 6 Cd 3.70
Tm 0.0000 0.0000 0.0000  2 Tm 3.55, 6 Cd 3.58, 6 La 3.68
Tm 0.0000 0.0000 0.5000  2 Tm 3.55, 6 Cd 3.58, 6 La 3.68
Cd 0.0000 0.3235 0.7500  3 La 3.17-3.28
Cd 0.0000 0.6765 0.2500  3 La 3.17-3.28
Cd 0.3235 0.0000 0.7500  3 La 3.17-3.28
Cd 0.3235 0.3235 0.2500  3 La 3.17-3.28
Cd 0.6765 0.0000 0.2500  3 La 3.17-3.28
Cd 0.6765 0.6765 0.7500  3 La 3.17-3.28